## CaZnSnWO6 (PBE+U)

Data for an optimized crystal structure of CaZnSnWO6.

Cell and atoms, written as POSCAR:
```
CaZnSnWO6
1.0
0.000 4.007 4.007
4.007 0.000 4.007
4.007 4.007 0.000
Ca Zn Sn W O
1 1 1 1 6
direct
0.250 0.250 0.250
0.000 0.000 0.000
0.750 0.750 0.750
0.500 0.500 0.500
0.258 0.742 0.258
0.742 0.258 0.742
0.258 0.742 0.742
0.742 0.258 0.258
0.258 0.258 0.742
0.742 0.742 0.258
```

energy: -6.27 eV per atom
SG: F-43m (216)
V: 12.9 Å³/atom